Entry from Alexandria: a geometry-optimized K2CoSnO4 structure (GGA+U).

a b c (Å): 5.9641 5.9630 5.7361
angles (deg): 121.27 121.28 90.07
Last column: nearest neighbours and their distance in Å.
Atoms (fractional coordinates):
O  0.3590  0.7500  0.2016  1 Co 1.99, 1 Sn 2.00
Sn  0.7359  0.7359  0.4718  4 O 2.00
O  0.0206  0.1133  0.7429  1 Co 1.99, 1 Sn 2.00
K  0.2355  0.2354  0.4709  4 O 2.80
O  0.7223  0.6296  0.7429  1 Co 1.99, 1 Sn 2.00
Co  0.9859  0.4859  0.9717  4 O 1.99
O  0.8426  0.4516  0.2016  1 Co 1.99, 1 Sn 2.00
K  0.4853  0.9853  0.9707  4 O 2.69

## Properties
SG	I-4, No. 82
total DFT energy (no corrections)	-42.778	eV per cell